VASP calculation (PBE) on crystalline LiCoTc2 at its relaxed geometry.

Cell and atoms, written as extended XYZ:
```
4
Lattice="3.5947 0.0000 0.0000 0.0000 3.5947 0.0000 0.0000 0.0000 3.9804" Properties=species:S:1:pos:R:3 pbc="T T T"
Li 0.0000 0.0000 0.0000
Co 1.7974 1.7974 0.0000
Tc 0.0000 1.7974 1.9902
Tc 1.7974 0.0000 1.9902
```

Its electronic total energy is -28.540 eV for the cell shown. For the energy of formation from the pure elements, the calculation gives 29 kJ/mol of atoms. For the energy above the most stable polymorph in this dataset, the calculation gives 125 meV/atom.